Entry 1:
A plane-wave DFT calculation with GGA-PBE was carried out for an optimized crystal structure of AcAl4.

Results
Final energy, eV/atom: -4.1339
Offset from the most stable computed form, meV per atom: 0
Calculated volume, Å³ per atom: 22.421
Density of states at the Fermi level, states/eV per cell: 5.5

Cell lengths 4.4633, 4.4633, 11.2551 Å; angles 90.00, 90.00, 90.00 degrees
Closest atoms and distances in Å follow each position.
Space group I4/mmm (No. 139)
One atom of each set of equivalent atoms:
1 Ac 0.0000 0.0000 0.0000 [2 per cell]  16 Al 3.42-3.59
2 Al 0.0000 0.0000 0.3828 [4 per cell]  5 Al 2.64-2.69
3 Al 0.0000 0.5000 0.2500 [4 per cell]  4 Al 2.69

Entry 2:
A plane-wave DFT calculation with GGA-PBE was carried out for an optimized crystal structure of AcAl6.

Results
Final energy, eV/atom: -3.5527
Offset from the most stable computed form, meV per atom: 396
Calculated volume, Å³ per atom: 26.307
Density of states at the Fermi level, states/eV per cell: 6.6

Cell lengths 7.1680, 7.1680, 7.1680 Å; angles 90.00, 90.00, 90.00 degrees
Closest atoms and distances in Å follow each position.
Space group Im-3m (No. 229)
One atom of each set of equivalent atoms:
1 Ac 0.0000 0.0000 0.0000 [2 per cell]  24 Al 4.01
2 Al 0.0000 0.2500 0.5000 [12 per cell]  4 Al 2.53

Entry 3:
A plane-wave DFT calculation with GGA-PBE was carried out for an optimized crystal structure of Ac4Al.

Results
Final energy, eV/atom: -3.7999
Calculated volume, Å³ per atom: 46.585
Density of states at the Fermi level, states/eV per cell: 9.4

Cell lengths 6.1528, 6.1528, 6.1528 Å; angles 90.00, 90.00, 90.00 degrees
Closest atoms and distances in Å follow each position.
Space group Pm-3m (No. 221)
One atom of each set of equivalent atoms:
1 Ac 0.0000 0.0000 0.0000 [1 per cell]  12 Ac 4.35
2 Ac 0.0000 0.5000 0.5000 [3 per cell]  2 Al 3.08
3 Al 0.5000 0.5000 0.5000 [1 per cell]  6 Ac 3.08